1.
DFT (GGA-PBE) results for an optimized crystal structure of Dy3Er5Cd.

Structure (CIF):
```
data_Dy3Er5Cd
_cell_length_a 9.5547
_cell_length_b 11.2857
_cell_length_c 11.3407
_cell_angle_alpha 90.00
_cell_angle_beta 90.32
_cell_angle_gamma 90.00
_space_group_name_H-M_alt 'C 1 2/m 1'
_space_group_IT_number 12
loop_
_space_group_symop_operation_xyz
'x,y,z'
'-x,-y,-z'
'-x,y,-z'
'x,-y,z'
'x+1/2,y+1/2,z'
'-x+1/2,-y+1/2,-z'
'-x+1/2,y+1/2,-z'
'x+1/2,-y+1/2,z'
loop_
_atom_site_label
_atom_site_type_symbol
_atom_site_fract_x
_atom_site_fract_y
_atom_site_fract_z
_atom_site_occupancy
Dy1 Dy 0.0000 0.0000 0.0000 1
Dy2 Dy 0.0000 0.0000 0.5000 1
Dy3 Dy 0.0071 0.5000 0.2591 1
Dy4 Dy 0.1613 0.0000 0.2422 1
Er1 Er 0.0000 0.2526 0.5000 1
Er2 Er 0.1212 0.2589 0.8779 1
Er3 Er 0.1695 0.0000 0.7389 1
Er4 Er 0.1769 0.5000 0.5085 1
Cd1 Cd 0.1616 0.5000 0.0136 1
```

## Properties
**D(E_F)**: 41.9 states/eV per cell
**Total DFT energy (no corrections)**: -3.681 eV per atom

2.
DFT (GGA-PBE) results for an optimized crystal structure of Dy3ErCd3.

Structure (CIF):
```
data_Dy3ErCd3
_cell_length_a 10.6203
_cell_length_b 10.7177
_cell_length_c 6.9039
_cell_angle_alpha 90.00
_cell_angle_beta 90.00
_cell_angle_gamma 90.00
_space_group_name_H-M_alt 'C m m m'
_space_group_IT_number 65
_space_group_name_Hall '-C 2 2'
loop_
_atom_site_label
_atom_site_type_symbol
_atom_site_fract_x
_atom_site_fract_y
_atom_site_fract_z
_atom_site_occupancy
Dy1 Dy 0.0000 0.2076 0.0000 1
Dy2 Dy 0.2013 0.0000 0.5000 1
Dy3 Dy 0.2393 0.5000 0.0000 1
Er1 Er 0.0000 0.2657 0.5000 1
Cd1 Cd 0.0000 0.5000 0.2485 1
Cd2 Cd 0.2500 0.2500 0.2513 1
```

## Properties
**D(E_F)**: 28.3 states/eV per cell
**Total DFT energy (no corrections)**: -3.152 eV per atom

3.
DFT (GGA-PBE) results for an optimized crystal structure of Dy3Er4Cd.

Structure (CIF):
```
data_Dy3Er4Cd
_cell_length_a 3.5287
_cell_length_b 3.5287
_cell_length_c 19.0680
_cell_angle_alpha 90.00
_cell_angle_beta 90.00
_cell_angle_gamma 90.00
_space_group_name_H-M_alt 'P 4/m m m'
_space_group_IT_number 123
_space_group_name_Hall '-P 4 2'
loop_
_atom_site_label
_atom_site_type_symbol
_atom_site_fract_x
_atom_site_fract_y
_atom_site_fract_z
_atom_site_occupancy
Dy1 Dy 0.0000 0.0000 0.0000 1
Dy2 Dy 0.0000 0.0000 0.2611 1
Er1 Er 0.5000 0.5000 0.1309 1
Er2 Er 0.5000 0.5000 0.3910 1
Cd1 Cd 0.0000 0.0000 0.5000 1
```

## Properties
**D(E_F)**: 10.4 states/eV per cell
**Total DFT energy (no corrections)**: -4.184 eV per atom

4.
DFT (GGA-PBE) results for an optimized crystal structure of Dy9Er4Cd11.

Structure (CIF):
```
data_Dy9Er4Cd11
_cell_length_a 16.0815
_cell_length_b 22.5032
_cell_length_c 3.5093
_cell_angle_alpha 90.00
_cell_angle_beta 90.00
_cell_angle_gamma 90.00
_space_group_name_H-M_alt 'C m m m'
_space_group_IT_number 65
_space_group_name_Hall '-C 2 2'
loop_
_atom_site_label
_atom_site_type_symbol
_atom_site_fract_x
_atom_site_fract_y
_atom_site_fract_z
_atom_site_occupancy
Dy1 Dy 0.0000 0.0000 0.0000 1
Dy2 Dy 0.1131 0.2326 0.0000 1
Dy3 Dy 0.1136 0.4078 0.0000 1
Er1 Er 0.1651 0.0844 0.0000 1
Cd1 Cd 0.0000 0.1291 0.5000 1
Cd2 Cd 0.0000 0.3216 0.5000 1
Cd3 Cd 0.0000 0.5000 0.5000 1
Cd4 Cd 0.2186 0.5000 0.5000 1
Cd5 Cd 0.2322 0.3196 0.5000 1
```

## Properties
**D(E_F)**: 55.0 states/eV per cell
**Total DFT energy (no corrections)**: -3.136 eV per atom

5.
DFT (GGA-PBE) results for an optimized crystal structure of DyErCd3.

Structure (CIF):
```
data_DyErCd3
_cell_length_a 5.7050
_cell_length_b 5.7050
_cell_length_c 21.7402
_cell_angle_alpha 90.00
_cell_angle_beta 90.00
_cell_angle_gamma 90.00
_space_group_name_H-M_alt 'I -4 m 2'
_space_group_IT_number 119
_space_group_name_Hall 'I -4 -2'
loop_
_atom_site_label
_atom_site_type_symbol
_atom_site_fract_x
_atom_site_fract_y
_atom_site_fract_z
_atom_site_occupancy
Dy1 Dy 0.0000 0.0000 0.0000 1
Dy2 Dy 0.0000 0.5000 0.2500 1
Er1 Er 0.0000 0.0000 0.4175 1
Cd1 Cd 0.0000 0.2468 0.1263 1
Cd2 Cd 0.0000 0.5000 0.5301 1
```

## Properties
**Energy above the most stable polymorph in this dataset**: 582 meV per atom
**D(E_F)**: 20.6 states/eV per cell
**Total DFT energy (no corrections)**: -2.086 eV per atom

6.
DFT (GGA-PBE) results for an optimized crystal structure of Dy4ErCd.

Structure (CIF):
```
data_Dy4ErCd
_cell_length_a 8.6547
_cell_length_b 14.1046
_cell_length_c 6.2872
_cell_angle_alpha 90.00
_cell_angle_beta 109.16
_cell_angle_gamma 90.00
_space_group_name_H-M_alt 'C 1 2/c 1'
_space_group_IT_number 15
loop_
_space_group_symop_operation_xyz
'x,y,z'
'-x,-y,-z'
'-x,y,-z+1/2'
'x,-y,z+1/2'
'x+1/2,y+1/2,z'
'-x+1/2,-y+1/2,-z'
'-x+1/2,y+1/2,-z+1/2'
'x+1/2,-y+1/2,z+1/2'
loop_
_atom_site_label
_atom_site_type_symbol
_atom_site_fract_x
_atom_site_fract_y
_atom_site_fract_z
_atom_site_occupancy
Dy1 Dy 0.0979 0.1910 0.0425 1
Dy2 Dy 0.2151 0.3770 0.3783 1
Er1 Er 0.0000 0.4108 0.7500 1
Cd1 Cd 0.0000 0.9995 0.2500 1
```

## Properties
**Energy above the most stable polymorph in this dataset**: 101 meV per atom
**D(E_F)**: 32.6 states/eV per cell
**Total DFT energy (no corrections)**: -3.971 eV per atom

no.,ΔH_f (0 K) (eV/atom)
1,0.4893
2,-0.1352
3,-0.0627
4,-0.2304
5,0.2963
6,0.0103